(1)
Here is a relaxed structure of CaZn2Rh2 from Alexandria. Energies are from GGA-PBE.

The value obtained for the energy relative to the elements is -0.36 eV per atom. The total magnetic moment is 0.00 μB/atom.

The space group is I4/mmm (No. 139) and the conventional cell measures 4.141, 4.141 and 21.445 Å, with angles of 90.00, 90.00 and 90.00 degrees. The distinct sites, in fractional coordinates, are Ca at (0.000, 0.000, 0.132), Zn at (0.000, 0.000, 0.317), Zn at (0.000, 0.500, 0.000), Rh at (0.000, 0.000, 0.432) and Rh at (0.000, 0.500, 0.250).

(2)
Here is a relaxed structure of MgH from Alexandria. Energies are from GGA-PBE.

The value obtained for the final energy is -2.4604 eV/atom. The total magnetic moment is 0.00 μB/atom.

The space group is P2_12_12_1 (No. 19) and the conventional cell measures 5.432, 5.432 and 6.979 Å, with angles of 90.00, 90.00 and 90.00 degrees. The distinct sites, in fractional coordinates, are Mg at (0.223, 0.005, 0.251), Mg at (0.250, 0.471, 0.999), H at (0.072, 0.507, 0.749) and H at (0.249, 0.821, 0.002).

(3)
Here is a relaxed structure of H2RhI6 from Alexandria. Energies are from GGA-PBE.

The value obtained for the final energy is -2.6418 eV/atom. The total magnetic moment is 0.00 μB/atom.

The space group is C2/c (No. 15) and the conventional cell measures 15.697, 12.833 and 6.683 Å, with angles of 90.00, 94.64 and 90.00 degrees. The distinct sites, in fractional coordinates, are H at (0.111, 0.150, 0.279), Rh at (0.000, 0.420, 0.250), I at (0.097, 0.433, 0.940), I at (0.107, 0.275, 0.426) and I at (0.136, 0.005, 0.199).

(4)
Here is a relaxed structure of MgSiRu2 from Alexandria. Energies are from GGA-PBE.

The value obtained for the final energy is -6.5928 eV/atom. The total magnetic moment is 0.00 μB/atom.

The space group is C2/m (No. 12) and the conventional cell measures 8.546, 2.950 and 4.888 Å, with angles of 90.00, 108.27 and 90.00 degrees. The distinct sites, in fractional coordinates, are Mg at (0.000, 0.000, 0.000), Si at (0.000, 0.500, 0.500) and Ru at (0.223, 0.000, 0.713).

(5)
Here is a relaxed structure of Cs2U3CdO12 from Alexandria. Energies are from GGA-PBE.

The value obtained for the final energy is -7.8192 eV/atom. The total magnetic moment is 0.00 μB/atom.

The space group is R-3m (No. 166, hexagonal axes) and the conventional cell measures 8.1182, 8.1182 and 18.6374 Å, with angles of 90.00, 90.00 and 120.00 degrees. The distinct sites, in fractional coordinates, are Cs at (0.0000, 0.0000, 0.1214), U at (0.0000, 0.5000, 0.0000), Cd at (0.0000, 0.0000, 0.5000), O at (0.0532, 0.5266, 0.1016) and O at (0.0800, 0.5400, 0.3486).

(6)
Here is a relaxed structure of ZrZnAg2O from Alexandria. Energies are from GGA-PBE.

The value obtained for the final energy is -2.4893 eV/atom. The total magnetic moment is 0.13 μB/atom.

The space group is P4/mmm (No. 123) and the conventional cell measures 5.334, 5.334 and 5.391 Å, with angles of 90.00, 90.00 and 90.00 degrees. The distinct sites, in fractional coordinates, are Zr at (0.000, 0.000, 0.000), Zn at (0.000, 0.000, 0.500), Ag at (0.000, 0.500, 0.000) and O at (0.500, 0.500, 0.500).